Model i:
LiY2Br: optimized geometry, GGA-PBE.

a = 7.6983 Å, b = 7.6956 Å, c = 3.4054 Å
α = 90.00°, β = 90.23°, γ = 90.00°
Space group C2/m (No. 12)
Inequivalent atoms, fractional coordinates:
Li 0.0000 0.0000 0.0000 (multiplicity 2)
Y 0.2500 0.2500 0.5000 (multiplicity 4)
Br 0.0000 0.5000 0.0000 (multiplicity 2)

=====

Model ii:
LiY2Br: optimized geometry, GGA-PBE.

a = 7.7429 Å, b = 7.7429 Å, c = 7.7429 Å
α = 90.00°, β = 90.00°, γ = 90.00°
Space group F-43m (No. 216)
Inequivalent atoms, fractional coordinates:
Li 0.0000 0.0000 0.0000 (multiplicity 4)
Y 0.0000 0.0000 0.5000 (multiplicity 4)
Y 0.2500 0.2500 0.7500 (multiplicity 4)
Br 0.2500 0.2500 0.2500 (multiplicity 4)

=====

Preferred: model i; penalty for the next structure: 529 meV/atom.